Entry 1:
The following is a DFT calculation (PBE-GGA) of SrTm2PtO5 after structural relaxation.

a b c (Å): 5.8694 6.4293 6.4293
angles (deg): 90.00 90.00 90.00
With the nearest neighbours (Å) after each atom.
Positions (direct):
Sr (0.0000, 0.5000, 0.5000)  10 O 2.92-2.93, 4 Pt 3.21
O (0.5000, 0.5000, 0.5000)  4 Tm 2.38
O (0.5000, 0.0000, 0.0000)  4 Tm 2.38
O (0.7375, 0.3576, 0.1424)  1 Pt 2.01, 1 Tm 2.17
O (0.7375, 0.6424, 0.8576)  1 Pt 2.01, 1 Tm 2.17
O (0.2625, 0.8576, 0.3576)  1 Pt 2.01, 1 Tm 2.17
Tm (0.5000, 0.6741, 0.1741)  4 O 2.17-2.38
O (0.2625, 0.6424, 0.8576)  1 Pt 2.01, 1 Tm 2.17
Pt (0.0000, 0.0000, 0.5000)  4 O 2.01
Tm (0.5000, 0.3259, 0.8259)  4 O 2.17-2.38
O (0.2625, 0.1424, 0.6424)  1 Pt 2.01, 1 Tm 2.17
O (0.2625, 0.3576, 0.1424)  1 Pt 2.01, 1 Tm 2.17
Pt (0.0000, 0.5000, 0.0000)  4 O 2.01
Tm (0.5000, 0.8259, 0.6741)  4 O 2.17-2.38
Sr (0.0000, 0.0000, 0.0000)  10 O 2.92-2.93, 4 Pt 3.21
Tm (0.5000, 0.1741, 0.3259)  4 O 2.17-2.38
O (0.7375, 0.1424, 0.6424)  1 Pt 2.01, 1 Tm 2.17
O (0.7375, 0.8576, 0.3576)  1 Pt 2.01, 1 Tm 2.17

Values from the calculation:
raw formation energy = -2.6991 eV/atom
symmetry = P4/mbm, No. 127
magnetization = 0.000 μB/atom

Entry 2:
The following is a DFT calculation (PBE-GGA) of Sr2TmPt3O12 after structural relaxation.

a b c (Å): 6.7601 6.7601 6.7601
angles (deg): 65.05 65.05 65.05
With the nearest neighbours (Å) after each atom.
Positions (direct):
Pt (0.0000, 0.5000, 0.0000)  6 O 1.96-1.99
O (0.4011, 0.8654, 0.8654)  1 Pt 1.96
Sr (0.3862, 0.3862, 0.3862)  3 O 2.48
O (0.2918, 0.2918, 0.8632)  2 Pt 1.99
O (0.2918, 0.8632, 0.2918)  2 Pt 1.99
O (0.1368, 0.7082, 0.7082)  2 Pt 1.99
O (0.8654, 0.8654, 0.4011)  1 Pt 1.96
Sr (0.6138, 0.6138, 0.6138)  3 O 2.48
O (0.8632, 0.2918, 0.2918)  2 Pt 1.99
Pt (0.5000, 0.0000, 0.0000)  6 O 1.96-1.99
Tm (0.0000, 0.0000, 0.0000)  6 O 2.35
O (0.1346, 0.1346, 0.5989)  1 Pt 1.96
O (0.5989, 0.1346, 0.1346)  1 Pt 1.96
O (0.7082, 0.1368, 0.7082)  2 Pt 1.99
Pt (0.0000, 0.0000, 0.5000)  6 O 1.96-1.99
O (0.7082, 0.7082, 0.1368)  2 Pt 1.99
O (0.1346, 0.5989, 0.1346)  1 Pt 1.96
O (0.8654, 0.4011, 0.8654)  1 Pt 1.96

Values from the calculation:
raw formation energy = -1.2748 eV/atom
symmetry = R-3m, No. 166
magnetization = 0.199 μB/atom

Entry 3:
The following is a DFT calculation (PBE-GGA) of SrTmPtO4 after structural relaxation.

a b c (Å): 6.6434 6.8067 6.8472
angles (deg): 120.20 90.00 119.21
With the nearest neighbours (Å) after each atom.
Positions (direct):
O (0.7336, 0.4673, 0.6710)  2 Pt 2.10, 1 Tm 2.31
O (0.2664, 0.5327, 0.7038)  2 Pt 2.10, 1 Tm 2.31
Tm (0.5000, 0.0000, 0.0000)  6 O 2.21-2.31
Sr (0.8574, 0.7148, 0.1074)  4 O 2.30-2.45
O (0.3026, 0.0264, 0.7632)  2 Tm 2.21, 1 Sr 2.30
O (0.2762, 0.9736, 0.2368)  2 Tm 2.21, 1 Sr 2.30
Sr (0.1426, 0.2852, 0.8926)  4 O 2.30-2.45
Pt (0.5000, 0.5000, 0.5000)  4 O 2.10
O (0.7238, 0.0264, 0.7632)  2 Tm 2.21, 1 Sr 2.30
Tm (0.5000, 0.0000, 0.5000)  6 O 2.21-2.31
O (0.2664, 0.5327, 0.3290)  2 Pt 2.10, 1 Tm 2.31
Pt (0.0000, 0.5000, 0.5000)  4 O 2.10
O (0.7336, 0.4673, 0.2962)  2 Pt 2.10, 1 Tm 2.31
O (0.6974, 0.9736, 0.2368)  2 Tm 2.21, 1 Sr 2.30

Values from the calculation:
raw formation energy = -2.1180 eV/atom
symmetry = Imma, No. 74
magnetization = 0.145 μB/atom

Entry 4:
The following is a DFT calculation (PBE-GGA) of SrUPtO6 after structural relaxation.

a b c (Å): 5.3942 5.3942 11.1542
angles (deg): 90.00 90.00 120.00
With the nearest neighbours (Å) after each atom.
Positions (direct):
O (0.6445, 0.6365, 0.1470)  1 Pt 2.05, 1 U 2.11
Sr (0.0000, 0.0000, 0.5000)  6 O 2.54
Sr (0.0000, 0.0000, 0.0000)  6 O 2.54
O (0.6445, 0.0080, 0.3530)  1 Pt 2.05, 1 U 2.11
O (0.3555, 0.3635, 0.8530)  1 Pt 2.05, 1 U 2.11
U (0.3333, 0.6667, 0.2500)  6 O 2.11
O (0.6365, 0.9920, 0.8530)  1 Pt 2.05, 1 U 2.11
Pt (0.6667, 0.3333, 0.2500)  6 O 2.05
O (0.3635, 0.3555, 0.3530)  1 Pt 2.05, 1 U 2.11
O (0.0080, 0.6445, 0.8530)  1 Pt 2.05, 1 U 2.11
O (0.0080, 0.3635, 0.6470)  1 Pt 2.05, 1 U 2.11
O (0.9920, 0.6365, 0.3530)  1 Pt 2.05, 1 U 2.11
O (0.6365, 0.6445, 0.6470)  1 Pt 2.05, 1 U 2.11
Pt (0.3333, 0.6667, 0.7500)  6 O 2.05
O (0.3635, 0.0080, 0.1470)  1 Pt 2.05, 1 U 2.11
O (0.3555, 0.9920, 0.6470)  1 Pt 2.05, 1 U 2.11
O (0.9920, 0.3555, 0.1470)  1 Pt 2.05, 1 U 2.11
U (0.6667, 0.3333, 0.7500)  6 O 2.11

Values from the calculation:
raw formation energy = -2.2718 eV/atom
symmetry = P-31c, No. 163
magnetization = 0.000 μB/atom

Entry 5:
The following is a DFT calculation (PBE-GGA) of Sr2UPtO8 after structural relaxation.

a b c (Å): 4.6274 5.4057 6.8633
angles (deg): 90.00 89.99 95.74
With the nearest neighbours (Å) after each atom.
Positions (direct):
O (0.4227, 0.1134, 0.0000)  1 O 1.48
Pt (0.0000, 0.0000, 0.0000)  6 O 1.99-2.08
O (0.6253, 0.7849, 0.5001)  1 U 1.99
O (0.0610, 0.7712, 0.7623)  1 Pt 2.08, 1 U 2.22
O (0.9390, 0.2288, 0.2377)  1 Pt 2.08, 1 U 2.22
O (0.0610, 0.7711, 0.2377)  1 Pt 2.08, 1 U 2.22
O (0.3747, 0.2151, 0.4999)  1 U 1.99
O (0.9390, 0.2289, 0.7623)  1 Pt 2.08, 1 U 2.22
O (0.5773, 0.8866, 0.0000)  1 O 1.48
Sr (0.4996, 0.4999, 0.7609)  6 O 2.39-2.65
Sr (0.5004, 0.5001, 0.2391)  6 O 2.39-2.65
U (0.0000, 0.0000, 0.5000)  6 O 1.99-2.22

Values from the calculation:
raw formation energy = -2.0773 eV/atom
symmetry = P2/m, No. 10
magnetization = 0.000 μB/atom